1.
A plane-wave DFT calculation with PBE was carried out for Dy4PuGa15 after structural relaxation.

Computed properties:
Formation energy from the elements   -0.51 eV per atom
Volume   19.50 A^3/atom
Spin magnetization   5.36 μB/cell
Space group   P4/mmm (123)

abc: 4.2773 4.2773 21.3202
angles: 90.00 90.00 90.00
Element x y z (fractional)
Dy  0.0000  0.0000  0.1002
Dy  0.0000  0.0000  0.2998
Dy  0.0000  0.0000  0.7002
Dy  0.0000  0.0000  0.8998
Pu  0.0000  0.0000  0.5000
Ga  0.0000  0.5000  0.0000
Ga  0.0000  0.5000  0.2003
Ga  0.0000  0.5000  0.4010
Ga  0.0000  0.5000  0.5990
Ga  0.0000  0.5000  0.7997
Ga  0.5000  0.0000  0.0000
Ga  0.5000  0.0000  0.2003
Ga  0.5000  0.0000  0.4010
Ga  0.5000  0.0000  0.5990
Ga  0.5000  0.0000  0.7997
Ga  0.5000  0.5000  0.0996
Ga  0.5000  0.5000  0.3002
Ga  0.5000  0.5000  0.5000
Ga  0.5000  0.5000  0.6998
Ga  0.5000  0.5000  0.9004

---

2.
A plane-wave DFT calculation with PBE was carried out for ZrMnIn2 after structural relaxation.

Computed properties:
Formation energy from the elements   0.00 eV per atom
Volume   20.86 A^3/atom
Spin magnetization   7.79 μB/cell
Space group   Cmmm (65)

abc: 6.1648 8.8246 3.0674
angles: 90.00 90.00 90.00
Element x y z (fractional)
Zr  0.0000  0.0000  0.0000
Zr  0.5000  0.5000  0.0000
Mn  0.0000  0.5000  0.0000
Mn  0.5000  0.0000  0.0000
In  0.2500  0.2500  0.5000
In  0.2500  0.7500  0.5000
In  0.7500  0.2500  0.5000
In  0.7500  0.7500  0.5000

---

3.
A plane-wave DFT calculation with PBE was carried out for Er2GaNi3Ge4 after structural relaxation.

Computed properties:
Formation energy from the elements   -0.61 eV per atom
Volume   16.54 A^3/atom
Spin magnetization   0.00 μB/cell
Space group   P-4m2 (115)

abc: 4.0241 4.0241 10.2120
angles: 90.00 90.00 90.00
Element x y z (fractional)
Er  0.0000  0.5000  0.2410
Er  0.5000  0.0000  0.7590
Ga  0.0000  0.0000  0.5000
Ni  0.0000  0.5000  0.8738
Ni  0.5000  0.0000  0.1262
Ni  0.5000  0.5000  0.5000
Ge  0.0000  0.0000  0.0000
Ge  0.0000  0.5000  0.6484
Ge  0.5000  0.0000  0.3516
Ge  0.5000  0.5000  0.0000

---

4.
A plane-wave DFT calculation with PBE was carried out for BePbSe after structural relaxation.

Computed properties:
Volume   27.77 A^3/atom
Energy above the most stable polymorph in this dataset   0.8603 eV/atom
Spin magnetization   0.00 μB/cell
Space group   F-43m (216)
Formation energy from raw total energies   0.665 eV per atom

abc: 6.9332 6.9332 6.9332
angles: 90.00 90.00 90.00
Element x y z (fractional)
Be  0.0000  0.0000  0.0000
Be  0.0000  0.5000  0.5000
Be  0.5000  0.0000  0.5000
Be  0.5000  0.5000  0.0000
Pb  0.2500  0.2500  0.7500
Pb  0.2500  0.7500  0.2500
Pb  0.7500  0.2500  0.2500
Pb  0.7500  0.7500  0.7500
Se  0.0000  0.0000  0.5000
Se  0.0000  0.5000  0.0000
Se  0.5000  0.0000  0.0000
Se  0.5000  0.5000  0.5000

---

5.
A plane-wave DFT calculation with PBE was carried out for Be2TcAs after structural relaxation.

Computed properties:
Formation energy from the elements   0.06 eV per atom
Volume   11.89 A^3/atom
Spin magnetization   0.00 μB/cell
Space group   Immm (71)

abc: 3.2738 3.7956 7.6572
angles: 90.00 90.00 90.00
Element x y z (fractional)
Be  0.0000  0.0000  0.2491
Be  0.0000  0.0000  0.7509
Be  0.5000  0.5000  0.2509
Be  0.5000  0.5000  0.7491
Tc  0.0000  0.5000  0.0000
Tc  0.5000  0.0000  0.5000
As  0.0000  0.5000  0.5000
As  0.5000  0.0000  0.0000

---

6.
A plane-wave DFT calculation with PBE was carried out for YTc5 after structural relaxation.

Computed properties:
Formation energy from the elements   0.26 eV per atom
Volume   16.75 A^3/atom
Energy above the most stable polymorph in this dataset   0.1555 eV/atom
Spin magnetization   0.00 μB/cell
Space group   Amm2 (38)

abc: 4.3365 2.8370 16.3426
angles: 90.00 90.00 90.00
Element x y z (fractional)
Y  0.0000  0.0000  0.0000
Y  0.0000  0.5000  0.5000
Tc  0.0000  0.0000  0.3227
Tc  0.0000  0.0000  0.6811
Tc  0.0000  0.5000  0.1811
Tc  0.0000  0.5000  0.8227
Tc  0.5000  0.0000  0.2325
Tc  0.5000  0.0000  0.5888
Tc  0.5000  0.0000  0.8750
Tc  0.5000  0.5000  0.0888
Tc  0.5000  0.5000  0.3750
Tc  0.5000  0.5000  0.7325

---

7.
A plane-wave DFT calculation with PBE was carried out for Pr12TlIn3 after structural relaxation.

Computed properties:
Formation energy from the elements   -0.26 eV per atom
Volume   31.74 A^3/atom
Spin magnetization   0.00 μB/cell
Space group   P4/mmm (123)

abc: 5.0229 5.0229 20.1304
angles: 90.00 90.00 90.00
Element x y z (fractional)
Pr  0.0000  0.0000  0.0000
Pr  0.0000  0.0000  0.2496
Pr  0.0000  0.0000  0.5000
Pr  0.0000  0.0000  0.7504
Pr  0.0000  0.5000  0.1249
Pr  0.0000  0.5000  0.3741
Pr  0.0000  0.5000  0.6259
Pr  0.0000  0.5000  0.8751
Pr  0.5000  0.0000  0.1249
Pr  0.5000  0.0000  0.3741
Pr  0.5000  0.0000  0.6259
Pr  0.5000  0.0000  0.8751
Tl  0.5000  0.5000  0.5000
In  0.5000  0.5000  0.0000
In  0.5000  0.5000  0.2499
In  0.5000  0.5000  0.7501

---

8.
A plane-wave DFT calculation with PBE was carried out for MnNiBr2 after structural relaxation.

Computed properties:
Volume   19.37 A^3/atom
Energy above the most stable polymorph in this dataset   0.4037 eV/atom
Spin magnetization   14.26 μB/cell
Space group   R-3m (166)
Formation energy from raw total energies   0.194 eV per atom

abc: 3.9774 3.9774 16.9632
angles: 90.00 90.00 120.00
Element x y z (fractional)
Mn  0.0000  0.0000  0.0000
Mn  0.3333  0.6667  0.6667
Mn  0.6667  0.3333  0.3333
Ni  0.0000  0.0000  0.5000
Ni  0.3333  0.6667  0.1667
Ni  0.6667  0.3333  0.8333
Br  0.0000  0.0000  0.2440
Br  0.0000  0.0000  0.7560
Br  0.3333  0.6667  0.4227
Br  0.3333  0.6667  0.9107
Br  0.6667  0.3333  0.0893
Br  0.6667  0.3333  0.5773